CaTc2Os at its PBEsol-relaxed geometry. Source: Alexandria via LeMat-Bulk, functional SCAN.

Unit cell a=2.754 b=2.754 c=8.666 alpha=90.00 beta=90.00 gamma=90.00
Fractional positions:
Ca 0.000 0.000 0.000
Tc 0.500 0.500 0.290
Tc 0.500 0.500 0.710
Os 0.000 0.000 0.500

Properties
- E_form (meV/atom) = 463
- energy (eV/atom) = -37.45
- symmetry = P4/mmm, No. 123
- energy above the lowest structure with this stoichiometry (eV/atom) = 0.0511